[1]
# Cs2KBaCd | Alexandria via LeMat-Bulk | PBE-GGA | optimized geometry
# ΔE_f in meV per atom: 65
# ΔE to the lowest computed polymorph in eV per atom: 0.0000
# Total DFT energy (no corrections) in eV/atom: -1.063
data_Cs2KBaCd
_cell_length_a 7.491
_cell_length_b 7.491
_cell_length_c 7.026
_cell_angle_alpha 90.00
_cell_angle_beta 90.00
_cell_angle_gamma 90.00
_symmetry_space_group_name_H-M 'P 4/m m m'
_symmetry_Int_Tables_number 123
_symmetry_space_group_name_Hall '-P 4 2'
loop_
_atom_site_label
_atom_site_type_symbol
_atom_site_fract_x
_atom_site_fract_y
_atom_site_fract_z
Cs1 Cs 0.000 0.500 0.000
K1 K 0.000 0.000 0.500
Ba1 Ba 0.500 0.500 0.500
Cd1 Cd 0.500 0.500 0.000

[2]
# Rb2HfI5 | Alexandria via LeMat-Bulk | PBE-GGA | optimized geometry
# Formation energy from raw total energies in eV/atom: -1.049
# Total DFT energy (no corrections) in eV/atom: -3.503
data_Rb2HfI5
_cell_length_a 9.001
_cell_length_b 9.001
_cell_length_c 9.984
_cell_angle_alpha 90.00
_cell_angle_beta 90.00
_cell_angle_gamma 90.00
_symmetry_space_group_name_H-M 'I 4 m m'
_symmetry_Int_Tables_number 107
_symmetry_space_group_name_Hall 'I 4 -2'
loop_
_atom_site_label
_atom_site_type_symbol
_atom_site_fract_x
_atom_site_fract_y
_atom_site_fract_z
Rb1 Rb 0.000 0.500 0.000
Hf1 Hf 0.000 0.000 0.182
I1 I 0.000 0.000 0.913
I2 I 0.219 0.219 0.249

[3]
# AcIn5Pd7 | Alexandria via LeMat-Bulk | PBE-GGA | optimized geometry
# ΔE_f in meV per atom: -444
# Total DFT energy (no corrections) in eV/atom: -4.610
data_AcIn5Pd7
_cell_length_a 5.912
_cell_length_b 9.677
_cell_length_c 9.082
_cell_angle_alpha 90.00
_cell_angle_beta 90.00
_cell_angle_gamma 90.00
_symmetry_space_group_name_H-M 'I m m 2'
_symmetry_Int_Tables_number 44
_symmetry_space_group_name_Hall 'I 2 -2'
loop_
_atom_site_label
_atom_site_type_symbol
_atom_site_fract_x
_atom_site_fract_y
_atom_site_fract_z
Ac1 Ac 0.000 0.000 0.000
In1 In 0.000 0.500 0.274
In2 In 0.246 0.264 0.746
Pd1 Pd 0.000 0.000 0.343
Pd2 Pd 0.000 0.000 0.664
Pd3 Pd 0.000 0.281 0.491
Pd4 Pd 0.000 0.344 0.002
Pd5 Pd 0.000 0.500 0.716